Entry 1:
# CsTlCl2, relaxed, DFT PBE
# Total moment = 0.000 μB/atom
# VASP energy = -12.6 eV/cell
# Symmetry = No. 225
# Uncorrected formation energy = -1.424 eV per atom
data_CsTlCl2
_chemical_formula_sum 'Cs1 Tl1 Cl2'
_space_group_name_H-M_alt 'P 1'
_space_group_IT_number 1
_cell_length_a 5.722
_cell_length_b 5.722
_cell_length_c 5.722
_cell_angle_alpha 60.00
_cell_angle_beta 60.00
_cell_angle_gamma 60.00
loop_
_space_group_symop_operation_xyz
'x,y,z'
loop_
_atom_site_label
_atom_site_type_symbol
_atom_site_fract_x
_atom_site_fract_y
_atom_site_fract_z
Cs1 Cs 0.000 0.000 0.000
Tl1 Tl 0.500 0.500 0.500
Cl1 Cl 0.250 0.250 0.250
Cl2 Cl 0.750 0.750 0.750

=====

Entry 2:
# LaCdHPd2, relaxed, DFT PBE
# Total moment = 0.000 μB/atom
# VASP energy = -15.6 eV/cell
# Symmetry = No. 123
data_LaCdHPd2
_chemical_formula_sum 'La1 Cd1 H1 Pd2'
_space_group_name_H-M_alt 'P 1'
_space_group_IT_number 1
_cell_length_a 4.935
_cell_length_b 5.930
_cell_length_c 4.935
_cell_angle_alpha 90.00
_cell_angle_beta 90.00
_cell_angle_gamma 90.00
loop_
_space_group_symop_operation_xyz
'x,y,z'
loop_
_atom_site_label
_atom_site_type_symbol
_atom_site_fract_x
_atom_site_fract_y
_atom_site_fract_z
H1 H 0.500 0.500 0.500
Cd1 Cd 0.000 0.000 0.000
Pd1 Pd 0.000 0.000 0.500
Pd2 Pd 0.500 0.000 0.000
La1 La 0.000 0.500 0.000